# MnAgMo2O8 PBE with a Hubbard U optimized geometry
data_MnAgMo2O8
_space_group_name_H-M_alt 'I -4 m 2'
_space_group_IT_number 119
_space_group_name_Hall 'I -4 -2'
_cell_length_a 7.0355
_cell_length_b 7.0355
_cell_length_c 6.8947
_cell_angle_alpha 90.00
_cell_angle_beta 90.00
_cell_angle_gamma 90.00
loop_
_atom_site_label
_atom_site_fract_x
_atom_site_fract_y
_atom_site_fract_z
_atom_site_occupancy
Mn1 0.0000 0.0000 0.0000 1
Ag1 0.0000 0.5000 0.2500 1
Mo1 0.0000 0.0000 0.5000 1
Mo2 0.0000 0.5000 0.7500 1
O1 0.0000 0.1998 0.3376 1
O2 0.0000 0.2904 0.9001 1
# * E_tot: -158.5 eV per cell